No. 1
A plane-wave DFT calculation with GGA-PBE was carried out for a geometry-optimized NdMg4Hg8 structure.

Structure (CIF):
```
data_NdMg4Hg8
_chemical_formula_sum 'Nd1 Mg4 Hg8'
_cell_length_a 7.595
_cell_length_b 7.595
_cell_length_c 7.595
_cell_angle_alpha 99.65
_cell_angle_beta 99.65
_cell_angle_gamma 131.65
_symmetry_space_group_name_H-M 'P 1'
_symmetry_Int_Tables_number 1
loop_
_symmetry_equiv_pos_as_xyz
'x,y,z'
loop_
_atom_site_label
_atom_site_fract_x
_atom_site_fract_y
_atom_site_fract_z
Nd1 0.000 0.000 0.000
Mg1 0.000 0.000 0.500
Mg2 0.000 0.500 0.000
Mg3 0.500 0.000 0.000
Mg4 0.500 0.500 0.500
Hg1 0.000 0.337 0.337
Hg2 0.000 0.663 0.663
Hg3 0.283 0.500 0.783
Hg4 0.337 0.000 0.337
Hg5 0.500 0.283 0.783
Hg6 0.500 0.717 0.217
Hg7 0.663 0.000 0.663
Hg8 0.717 0.500 0.217
```

Properties
* energy: -16.55 eV per cell
* ΔH_f (0 K): -0.2301 eV per atom
* symmetry: I4/mmm, No. 139

=====

No. 2
A plane-wave DFT calculation with GGA-PBE was carried out for a geometry-optimized NdMg2Hg structure.

Structure (CIF):
```
data_NdMg2Hg
_chemical_formula_sum 'Nd1 Mg2 Hg1'
_cell_length_a 5.182
_cell_length_b 5.182
_cell_length_c 5.182
_cell_angle_alpha 119.75
_cell_angle_beta 119.75
_cell_angle_gamma 90.43
_symmetry_space_group_name_H-M 'P 1'
_symmetry_Int_Tables_number 1
loop_
_symmetry_equiv_pos_as_xyz
'x,y,z'
loop_
_atom_site_label
_atom_site_fract_x
_atom_site_fract_y
_atom_site_fract_z
Nd1 0.000 0.000 0.000
Mg1 0.250 0.750 0.500
Mg2 0.500 0.500 0.000
Hg1 0.750 0.250 0.500
```

Properties
* energy: -9.43 eV per cell
* ΔH_f (0 K): -0.2926 eV per atom
* energy relative to the lowest polymorph listed for this composition: 0 meV/atom
* symmetry: I-4m2, No. 119

=====

No. 3
A plane-wave DFT calculation with GGA-PBE was carried out for a geometry-optimized Nd2MgHg5 structure.

Structure (CIF):
```
data_Nd2MgHg5
_chemical_formula_sum 'Nd2 Mg1 Hg5'
_cell_length_a 8.449
_cell_length_b 8.449
_cell_length_c 8.449
_cell_angle_alpha 144.58
_cell_angle_beta 144.58
_cell_angle_gamma 50.96
_symmetry_space_group_name_H-M 'P 1'
_symmetry_Int_Tables_number 1
loop_
_symmetry_equiv_pos_as_xyz
'x,y,z'
loop_
_atom_site_label
_atom_site_fract_x
_atom_site_fract_y
_atom_site_fract_z
Nd1 0.246 0.246 0.000
Nd2 0.754 0.754 0.000
Mg1 0.500 0.500 0.000
Hg1 0.000 0.000 0.000
Hg2 0.117 0.617 0.500
Hg3 0.383 0.883 0.500
Hg4 0.617 0.117 0.500
Hg5 0.883 0.383 0.500
```

Properties
* energy: -15.12 eV per cell
* ΔH_f (0 K): -0.3096 eV per atom
* symmetry: I4/mmm, No. 139

=====

No. 4
A plane-wave DFT calculation with GGA-PBE was carried out for a geometry-optimized NdMg3Hg2 structure.

Structure (CIF):
```
data_NdMg3Hg2
_chemical_formula_sum 'Nd2 Mg6 Hg4'
_cell_length_a 8.759
_cell_length_b 8.759
_cell_length_c 7.840
_cell_angle_alpha 111.37
_cell_angle_beta 111.37
_cell_angle_gamma 31.58
_symmetry_space_group_name_H-M 'P 1'
_symmetry_Int_Tables_number 1
loop_
_symmetry_equiv_pos_as_xyz
'x,y,z'
loop_
_atom_site_label
_atom_site_fract_x
_atom_site_fract_y
_atom_site_fract_z
Nd1 0.122 0.122 0.189
Nd2 0.878 0.878 0.811
Mg1 0.066 0.066 0.703
Mg2 0.307 0.307 0.075
Mg3 0.368 0.368 0.493
Mg4 0.632 0.632 0.507
Mg5 0.693 0.693 0.925
Mg6 0.934 0.934 0.297
Hg1 0.231 0.231 0.676
Hg2 0.486 0.486 0.174
Hg3 0.514 0.514 0.826
Hg4 0.769 0.769 0.324
```

Properties
* energy: -23.69 eV per cell
* ΔH_f (0 K): -0.2812 eV per atom
* symmetry: C2/m, No. 12

=====

No. 5
A plane-wave DFT calculation with GGA-PBE was carried out for a geometry-optimized NdMg5Hg2 structure.

Structure (CIF):
```
data_NdMg5Hg2
_chemical_formula_sum 'Nd1 Mg5 Hg2'
_cell_length_a 7.382
_cell_length_b 7.382
_cell_length_c 7.382
_cell_angle_alpha 149.20
_cell_angle_beta 107.36
_cell_angle_gamma 80.95
_symmetry_space_group_name_H-M 'P 1'
_symmetry_Int_Tables_number 1
loop_
_symmetry_equiv_pos_as_xyz
'x,y,z'
loop_
_atom_site_label
_atom_site_fract_x
_atom_site_fract_y
_atom_site_fract_z
Nd1 0.000 0.000 0.000
Mg1 0.158 0.358 0.801
Mg2 0.443 0.642 0.801
Mg3 0.500 0.000 0.500
Mg4 0.557 0.358 0.199
Mg5 0.842 0.642 0.199
Hg1 0.236 0.736 0.500
Hg2 0.764 0.264 0.500
```

Properties
* energy: -15.24 eV per cell
* ΔH_f (0 K): -0.2372 eV per atom
* symmetry: Immm, No. 71

=====

No. 6
A plane-wave DFT calculation with GGA-PBE was carried out for a geometry-optimized Nd5MgHg3 structure.

Structure (CIF):
```
data_Nd5MgHg3
_chemical_formula_sum 'Nd10 Mg2 Hg6'
_cell_length_a 9.413
_cell_length_b 9.413
_cell_length_c 6.860
_cell_angle_alpha 90.00
_cell_angle_beta 90.00
_cell_angle_gamma 120.00
_symmetry_space_group_name_H-M 'P 1'
_symmetry_Int_Tables_number 1
loop_
_symmetry_equiv_pos_as_xyz
'x,y,z'
loop_
_atom_site_label
_atom_site_fract_x
_atom_site_fract_y
_atom_site_fract_z
Nd1 0.000 0.310 0.250
Nd2 0.000 0.690 0.750
Nd3 0.310 0.000 0.250
Nd4 0.310 0.310 0.750
Nd5 0.333 0.667 0.000
Nd6 0.333 0.667 0.500
Nd7 0.667 0.333 0.000
Nd8 0.667 0.333 0.500
Nd9 0.690 0.000 0.750
Nd10 0.690 0.690 0.250
Mg1 0.000 0.000 0.000
Mg2 0.000 0.000 0.500
Hg1 0.000 0.352 0.750
Hg2 0.000 0.648 0.250
Hg3 0.352 0.000 0.750
Hg4 0.352 0.352 0.250
Hg5 0.648 0.000 0.250
Hg6 0.648 0.648 0.750
```

Properties
* energy: -58.13 eV per cell
* ΔH_f (0 K): -0.3026 eV per atom
* symmetry: P6_3/mcm, No. 193

=====

No. 7
A plane-wave DFT calculation with GGA-PBE was carried out for a geometry-optimized NdMg2Hg structure.

Structure (CIF):
```
data_NdMg2Hg
_chemical_formula_sum 'Nd1 Mg2 Hg1'
_cell_length_a 5.117
_cell_length_b 5.117
_cell_length_c 5.117
_cell_angle_alpha 60.00
_cell_angle_beta 60.00
_cell_angle_gamma 60.00
_symmetry_space_group_name_H-M 'P 1'
_symmetry_Int_Tables_number 1
loop_
_symmetry_equiv_pos_as_xyz
'x,y,z'
loop_
_atom_site_label
_atom_site_fract_x
_atom_site_fract_y
_atom_site_fract_z
Nd1 0.000 0.000 0.000
Mg1 0.250 0.250 0.250
Mg2 0.750 0.750 0.750
Hg1 0.500 0.500 0.500
```

Properties
* energy: -9.03 eV per cell
* ΔH_f (0 K): -0.1924 eV per atom
* energy relative to the lowest polymorph listed for this composition: 100 meV/atom
* symmetry: Fm-3m, No. 225

=====

No. 8
A plane-wave DFT calculation with GGA-PBE was carried out for a geometry-optimized NdMg2Hg2 structure.

Structure (CIF):
```
data_NdMg2Hg2
_chemical_formula_sum 'Nd1 Mg2 Hg2'
_cell_length_a 4.358
_cell_length_b 4.358
_cell_length_c 6.614
_cell_angle_alpha 90.00
_cell_angle_beta 90.00
_cell_angle_gamma 90.00
_symmetry_space_group_name_H-M 'P 1'
_symmetry_Int_Tables_number 1
loop_
_symmetry_equiv_pos_as_xyz
'x,y,z'
loop_
_atom_site_label
_atom_site_fract_x
_atom_site_fract_y
_atom_site_fract_z
Nd1 0.000 0.000 0.000
Mg1 0.000 0.500 0.500
Mg2 0.500 0.000 0.500
Hg1 0.500 0.500 0.216
Hg2 0.500 0.500 0.784
```

Properties
* energy: -10.07 eV per cell
* ΔH_f (0 K): -0.3018 eV per atom
* energy relative to the lowest polymorph listed for this composition: 32 meV/atom
* symmetry: P4/mmm, No. 123

=====

No. 9
A plane-wave DFT calculation with GGA-PBE was carried out for a geometry-optimized Nd3Mg7Hg2 structure.

Structure (CIF):
```
data_Nd3Mg7Hg2
_chemical_formula_sum 'Nd3 Mg7 Hg2'
_cell_length_a 10.298
_cell_length_b 10.298
_cell_length_c 10.298
_cell_angle_alpha 34.33
_cell_angle_beta 34.33
_cell_angle_gamma 34.33
_symmetry_space_group_name_H-M 'P 1'
_symmetry_Int_Tables_number 1
loop_
_symmetry_equiv_pos_as_xyz
'x,y,z'
loop_
_atom_site_label
_atom_site_fract_x
_atom_site_fract_y
_atom_site_fract_z
Nd1 0.000 0.000 0.000
Nd2 0.144 0.144 0.144
Nd3 0.856 0.856 0.856
Mg1 0.077 0.582 0.582
Mg2 0.418 0.418 0.923
Mg3 0.418 0.923 0.418
Mg4 0.500 0.500 0.500
Mg5 0.582 0.077 0.582
Mg6 0.582 0.582 0.077
Mg7 0.923 0.418 0.418
Hg1 0.334 0.334 0.334
Hg2 0.666 0.666 0.666
```

Properties
* energy: -28.33 eV per cell
* ΔH_f (0 K): -0.1881 eV per atom
* symmetry: R-3m, No. 166

=====

No. 10
A plane-wave DFT calculation with GGA-PBE was carried out for a geometry-optimized Nd2MgHg8 structure.

Structure (CIF):
```
data_Nd2MgHg8
_chemical_formula_sum 'Nd2 Mg1 Hg8'
_cell_length_a 4.709
_cell_length_b 4.709
_cell_length_c 12.803
_cell_angle_alpha 90.00
_cell_angle_beta 90.00
_cell_angle_gamma 90.00
_symmetry_space_group_name_H-M 'P 1'
_symmetry_Int_Tables_number 1
loop_
_symmetry_equiv_pos_as_xyz
'x,y,z'
loop_
_atom_site_label
_atom_site_fract_x
_atom_site_fract_y
_atom_site_fract_z
Nd1 0.000 0.000 0.189
Nd2 0.000 0.000 0.811
Mg1 0.000 0.000 0.500
Hg1 0.000 0.500 0.000
Hg2 0.000 0.500 0.367
Hg3 0.000 0.500 0.633
Hg4 0.500 0.000 0.000
Hg5 0.500 0.000 0.367
Hg6 0.500 0.000 0.633
Hg7 0.500 0.500 0.182
Hg8 0.500 0.500 0.818
```

Properties
* energy: -16.79 eV per cell
* ΔH_f (0 K): -0.2954 eV per atom
* symmetry: P4/mmm, No. 123

=====

Question: Which value of ΔH_f (0 K) does entry 4 give?
Answer: -0.2812 eV per atom